(1)
{
  "formula": "Pm3Y6Er2Th",
  "functional": "PBE",
  "state": "relaxed",
  "lattice": [[3.105, -5.376, 0.000], [3.105, 5.376, 0.000], [-2.073, 0.000, 11.672]],
  "species": ["Pm", "Pm", "Pm", "Y", "Y", "Y", "Y", "Y", "Y", "Er", "Er", "Th"],
  "frac_coords": [[0.000, 0.000, 0.000], [0.333, 0.667, 0.000], [0.667, 0.333, 0.000], [0.087, 0.417, 0.254], [0.253, 0.253, 0.746], [0.417, 0.087, 0.254], [0.583, 0.913, 0.746], [0.747, 0.747, 0.254], [0.913, 0.583, 0.746], [0.167, 0.833, 0.500], [0.833, 0.167, 0.500], [0.500, 0.500, 0.500]],
  "total_energy_ev_per_atom": -5.7784,
  "e_form_ev_per_atom": 0.020
}



(2)
{
  "formula": "HoAl4Cu2",
  "functional": "PBE",
  "state": "relaxed",
  "lattice": [[2.014, -7.479, 0.000], [2.014, 7.479, 0.000], [0.000, 0.000, 3.940]],
  "species": ["Ho", "Al", "Al", "Al", "Al", "Cu", "Cu"],
  "frac_coords": [[0.000, 0.000, 0.000], [0.179, 0.821, 0.500], [0.318, 0.682, 0.000], [0.682, 0.318, 0.000], [0.821, 0.179, 0.500], [0.419, 0.581, 0.500], [0.581, 0.419, 0.500]],
  "total_energy_ev_per_atom": -4.2644,
  "e_form_ev_per_atom": -0.302
}



(3)
{
  "formula": "Pa2MnGeN6",
  "functional": "PBE",
  "state": "relaxed",
  "lattice": [[2.747, 1.586, 4.486], [-2.747, 1.586, 4.486], [0.000, -3.172, 4.486]],
  "species": ["Pa", "Pa", "Mn", "Ge", "N", "N", "N", "N", "N", "N"],
  "frac_coords": [[0.000, 0.000, 0.000], [0.496, 0.496, 0.496], [0.773, 0.773, 0.773], [0.268, 0.268, 0.268], [0.045, 0.630, 0.437], [0.129, 0.553, 0.930], [0.437, 0.045, 0.630], [0.553, 0.930, 0.129], [0.630, 0.437, 0.045], [0.930, 0.129, 0.553]],
  "total_energy_ev_per_atom": -9.0470,
  "raw_formation_energy_mev_per_atom": -774
}



(4)
{
  "formula": "Mo2OsRh",
  "functional": "PBE",
  "state": "relaxed",
  "lattice": [[3.259, 0.000, 0.000], [0.000, 3.259, 0.000], [0.000, 0.000, 5.774]],
  "species": ["Mo", "Mo", "Os", "Rh"],
  "frac_coords": [[0.000, 0.000, 0.000], [0.500, 0.500, 0.283], [0.000, 0.000, 0.509], [0.500, 0.500, 0.790]],
  "total_energy_ev_per_atom": -9.8744,
  "e_form_ev_per_atom": 0.186
}



(5)
{
  "formula": "AlPt2W",
  "functional": "PBE",
  "state": "relaxed",
  "lattice": [[2.756, -3.993, 0.000], [2.756, 3.993, 0.000], [0.000, 0.000, 2.780]],
  "species": ["Al", "Pt", "Pt", "W"],
  "frac_coords": [[0.000, 0.000, 0.000], [0.000, 0.500, 0.500], [0.500, 0.000, 0.500], [0.500, 0.500, 0.000]],
  "total_energy_ev_per_atom": -7.6008,
  "e_form_ev_per_atom": -0.406
}



(6)
{
  "formula": "Ce2ReBi",
  "functional": "PBE",
  "state": "relaxed",
  "lattice": [[1.960, 1.131, 9.721], [-1.960, 1.131, 9.721], [0.000, -2.263, 9.721]],
  "species": ["Ce", "Ce", "Re", "Bi"],
  "frac_coords": [[0.113, 0.113, 0.113], [0.887, 0.887, 0.887], [0.500, 0.500, 0.500], [0.000, 0.000, 0.000]],
  "total_energy_ev_per_atom": -6.8207,
  "e_form_ev_per_atom": 0.229
}



(7)
{
  "formula": "CeHoTiIn",
  "functional": "PBE",
  "state": "relaxed",
  "lattice": [[0.000, 3.735, 3.735], [3.735, 0.000, 3.735], [3.735, 3.735, 0.000]],
  "species": ["Ce", "Ho", "Ti", "In"],
  "frac_coords": [[0.000, 0.000, 0.000], [0.500, 0.500, 0.500], [0.250, 0.250, 0.250], [0.750, 0.750, 0.750]],
  "total_energy_ev_per_atom": -5.3286,
  "e_form_ev_per_atom": -0.042
}



(8)
{
  "formula": "Tm2MgCdHg4",
  "functional": "PBE",
  "state": "relaxed",
  "lattice": [[2.521, 1.456, 8.247], [-2.521, 1.456, 8.247], [0.000, -2.911, 8.247]],
  "species": ["Tm", "Tm", "Mg", "Cd", "Hg", "Hg", "Hg", "Hg"],
  "frac_coords": [[0.248, 0.248, 0.248], [0.752, 0.752, 0.752], [0.000, 0.000, 0.000], [0.500, 0.500, 0.500], [0.122, 0.122, 0.122], [0.371, 0.371, 0.371], [0.629, 0.629, 0.629], [0.878, 0.878, 0.878]],
  "total_energy_ev_per_atom": -1.9725,
  "e_form_ev_per_atom": -0.390
}